CoAgBr2F | PBE+U | relaxed

Summary:
SG: P4/mmm
Total energy, eV per atom: -3.258

Lattice parameters (Å, degrees): 5.264 5.264 3.816 90.00 90.00 90.00
Site moments in Bohr magnetons follow the coordinates.
Element x y z (fractional)
Co: 0.000 0.000 0.000  2.68
Br: 0.000 0.500 0.000  0.06
Br: 0.500 0.000 0.000  0.06
Ag: 0.500 0.500 0.500  0.00
F: 0.000 0.000 0.500  0.14